1.
Sm13Hg2: relaxed, PBE.

Values from the calculation:
Calculated formation energy: -87 meV/atom
D(E_F): 20.6 states/eV/f.u.
E_tot: -4.217 eV per atom
M_tot: 0.0 μB per formula unit
Calculated volume: 483.5 Å³/cell

Cell: 6.502 8.609 9.495 Å, 111.46 78.46 97.78°
Element x y z (fractional)
Sm 0.749 0.597 0.054
Sm 0.251 0.403 0.946
Sm 0.000 0.000 0.000
Sm 0.288 0.012 0.648
Sm 0.712 0.988 0.352
Sm 0.053 0.580 0.706
Sm 0.947 0.420 0.294
Sm 0.459 0.629 0.415
Sm 0.541 0.371 0.585
Sm 0.524 0.794 0.845
Sm 0.476 0.206 0.155
Sm 0.792 0.181 0.769
Sm 0.208 0.819 0.231
Hg 0.875 0.789 0.548
Hg 0.125 0.211 0.452

2.
Sm4Hg: relaxed, PBE.

Values from the calculation:
Relative energy among the computed polymorphs: 0.000 eV per atom
Calculated formation energy: -177 meV/atom
D(E_F): 6.9 states/eV/f.u.
E_tot: -4.013 eV per atom
M_tot: 0.0 μB per formula unit
Calculated volume: 156.5 Å³/cell

Cell: 3.677 3.677 11.864 Å, 98.91 98.91 90.00°
Element x y z (fractional)
Sm 0.587 0.587 0.174
Sm 0.196 0.196 0.391
Sm 0.804 0.804 0.609
Sm 0.413 0.413 0.826
Hg 0.000 0.000 0.000

3.
SmHg2: relaxed, PBE.

Values from the calculation:
Calculated formation energy: -391 meV/atom
D(E_F): 1.4 states/eV/f.u.
E_tot: -2.165 eV per atom
M_tot: 0.0 μB per formula unit
Calculated volume: 79.8 Å³/cell

Cell: 4.628 4.628 4.050 Å, 77.89 77.89 72.35°
Element x y z (fractional)
Hg 0.663 0.663 0.654
Hg 0.337 0.337 0.346
Sm 0.000 0.000 0.000

4.
SmHg4: relaxed, PBE.

Values from the calculation:
Relative energy among the computed polymorphs: 0.567 eV per atom
Calculated formation energy: 290 meV/atom
D(E_F): 6.1 states/eV/f.u.
E_tot: -0.895 eV per atom
M_tot: 0.0 μB per formula unit
Calculated volume: 229.1 Å³/cell

Cell: 6.119 6.119 6.119 Å, 90.00 90.00 90.00°
Element x y z (fractional)
Hg 0.000 0.000 0.000
Hg 0.500 0.000 0.500
Hg 0.000 0.500 0.500
Hg 0.500 0.500 0.000
Sm 0.500 0.500 0.500

5.
Sm5Hg: relaxed, PBE.

Values from the calculation:
Relative energy among the computed polymorphs: 0.000 eV per atom
Calculated formation energy: -146 meV/atom
D(E_F): 8.1 states/eV/f.u.
E_tot: -4.129 eV per atom
M_tot: 0.0 μB per formula unit
Calculated volume: 190.0 Å³/cell

Cell: 3.658 3.658 14.202 Å, 90.00 90.00 90.00°
Element x y z (fractional)
Sm 0.000 0.000 0.643
Sm 0.500 0.500 0.821
Sm 0.000 0.000 0.000
Sm 0.500 0.500 0.179
Sm 0.000 0.000 0.357
Hg 0.500 0.500 0.500

6.
SmHg6: relaxed, PBE.

Values from the calculation:
Relative energy among the computed polymorphs: 0.000 eV per atom
Calculated formation energy: -191 meV/atom
D(E_F): 4.5 states/eV/f.u.
E_tot: -1.124 eV per atom
M_tot: 0.0 μB per formula unit
Calculated volume: 185.0 Å³/cell

Cell: 5.045 5.045 7.268 Å, 90.00 90.00 90.00°
Element x y z (fractional)
Sm 0.000 0.000 0.000
Hg 0.000 0.000 0.500
Hg 0.500 0.500 0.000
Hg 0.500 0.000 0.724
Hg 0.000 0.500 0.276
Hg 0.500 0.000 0.276
Hg 0.000 0.500 0.724

7.
SmHg4: relaxed, PBE.

Values from the calculation:
Relative energy among the computed polymorphs: 0.045 eV per atom
Calculated formation energy: -232 meV/atom
D(E_F): 2.0 states/eV/f.u.
E_tot: -1.418 eV per atom
M_tot: 0.0 μB per formula unit
Calculated volume: 255.0 Å³/cell

Cell: 6.985 5.266 8.686 Å, 127.05 90.00 90.00°
Element x y z (fractional)
Sm 0.000 0.000 0.000
Sm 0.500 0.000 0.500
Hg 0.429 0.207 0.206
Hg 0.929 0.793 0.294
Hg 0.571 0.793 0.794
Hg 0.071 0.207 0.706
Hg 0.794 0.428 0.429
Hg 0.294 0.572 0.071
Hg 0.206 0.572 0.571
Hg 0.706 0.428 0.929

8.
Sm5Hg7: relaxed, PBE.

Values from the calculation:
Calculated formation energy: -380 meV/atom
D(E_F): 9.5 states/eV/f.u.
E_tot: -2.522 eV per atom
M_tot: 0.0 μB per formula unit
Calculated volume: 334.7 Å³/cell

Cell: 5.146 5.146 14.903 Å, 90.13 99.78 120.10°
Element x y z (fractional)
Sm 0.718 0.859 0.577
Sm 0.282 0.141 0.423
Sm 0.200 0.600 0.801
Sm 0.800 0.400 0.199
Sm 0.000 0.000 0.000
Hg 0.554 0.777 0.331
Hg 0.446 0.223 0.669
Hg 0.858 0.928 0.786
Hg 0.142 0.072 0.214
Hg 0.612 0.305 0.917
Hg 0.000 0.500 0.500
Hg 0.388 0.695 0.083

9.
Sm4Hg: relaxed, PBE.

Values from the calculation:
Relative energy among the computed polymorphs: 0.119 eV per atom
Calculated formation energy: -58 meV/atom
D(E_F): 6.5 states/eV/f.u.
E_tot: -3.894 eV per atom
M_tot: 0.0 μB per formula unit
Calculated volume: 321.1 Å³/cell

Cell: 6.401 6.077 8.907 Å, 90.00 90.00 67.92°
Element x y z (fractional)
Sm 0.191 0.942 0.343
Sm 0.809 0.558 0.343
Sm 0.247 0.488 0.078
Sm 0.753 0.012 0.078
Sm 0.753 0.512 0.922
Sm 0.247 0.988 0.922
Sm 0.191 0.442 0.657
Sm 0.809 0.058 0.657
Hg 0.500 0.750 0.626
Hg 0.500 0.250 0.374

10.
Sm2Sn4Hg: relaxed, PBE.

Values from the calculation:
Relative energy among the computed polymorphs: 0.000 eV per atom
Calculated formation energy: -455 meV/atom
D(E_F): 3.7 states/eV/f.u.
E_tot: -4.134 eV per atom
M_tot: 0.0 μB per formula unit
Calculated volume: 198.5 Å³/cell

Cell: 6.518 6.518 6.565 Å, 119.76 119.76 90.09°
Element x y z (fractional)
Sm 0.286 0.786 0.571
Sm 0.786 0.286 0.571
Sn 0.786 0.786 0.072
Sn 0.286 0.286 0.071
Sn 0.786 0.286 0.071
Sn 0.286 0.786 0.071
Hg 0.786 0.786 0.572

11.
SmSn3Hg: relaxed, PBE.

Values from the calculation:
Relative energy among the computed polymorphs: 0.000 eV per atom
Calculated formation energy: -319 meV/atom
D(E_F): 2.0 states/eV/f.u.
E_tot: -3.725 eV per atom
M_tot: 0.0 μB per formula unit
Calculated volume: 533.0 Å³/cell

Cell: 6.399 6.335 13.149 Å, 90.00 90.00 90.00°
Element x y z (fractional)
Sm 0.750 0.510 0.691
Sm 0.250 0.490 0.309
Sm 0.750 0.010 0.309
Sm 0.250 0.990 0.691
Sn 0.000 0.250 0.500
Sn 0.500 0.750 0.500
Sn 0.000 0.750 0.500
Sn 0.500 0.250 0.500
Sn 0.250 0.196 0.922
Sn 0.750 0.804 0.078
Sn 0.250 0.696 0.078
Sn 0.750 0.304 0.922
Sn 0.250 0.484 0.723
Sn 0.750 0.516 0.277
Sn 0.250 0.984 0.277
Sn 0.750 0.016 0.723
Hg 0.500 0.250 0.118
Hg 0.000 0.750 0.882
Hg 0.500 0.750 0.882
Hg 0.000 0.250 0.118

12.
Sm6SnHg2: relaxed, PBE.

Values from the calculation:
Calculated formation energy: -330 meV/atom
D(E_F): 11.3 states/eV/f.u.
E_tot: -3.988 eV per atom
M_tot: 0.0 μB per formula unit
Calculated volume: 555.9 Å³/cell

Cell: 9.023 9.023 9.023 Å, 101.00 112.47 115.27°
Element x y z (fractional)
Sm 0.522 0.711 0.811
Sm 0.478 0.289 0.189
Sm 0.100 0.289 0.811
Sm 0.900 0.711 0.189
Sm 0.805 0.768 0.573
Sm 0.195 0.232 0.427
Sm 0.195 0.768 0.963
Sm 0.805 0.232 0.037
Sm 0.710 0.383 0.673
Sm 0.290 0.617 0.327
Sm 0.290 0.963 0.673
Sm 0.710 0.037 0.327
Sn 0.000 0.500 0.500
Sn 0.000 0.000 0.000
Hg 0.500 0.369 0.869
Hg 0.500 0.631 0.131
Hg 0.654 0.000 0.654
Hg 0.346 0.000 0.346

Please write out number 5 again, unchanged.
Sm5Hg: relaxed, PBE.

Values from the calculation:
Relative energy among the computed polymorphs: 0.000 eV per atom
Calculated formation energy: -146 meV/atom
D(E_F): 8.1 states/eV/f.u.
E_tot: -4.129 eV per atom
M_tot: 0.0 μB per formula unit
Calculated volume: 190.0 Å³/cell

Cell: 3.658 3.658 14.202 Å, 90.00 90.00 90.00°
Element x y z (fractional)
Sm 0.000 0.000 0.643
Sm 0.500 0.500 0.821
Sm 0.000 0.000 0.000
Sm 0.500 0.500 0.179
Sm 0.000 0.000 0.357
Hg 0.500 0.500 0.500

Q: What is the calculated formation energy in the fourth record?
A: 290 meV/atom